{"formula": "Li4Nb2V3Cr3O16", "functional": "PBE+U", "state": "relaxed", "lattice_angstrom": [[5.220, -2.995, 0.000], [5.220, 2.995, 0.000], [-0.092, 0.000, 9.685]], "species": ["Li", "Li", "Li", "Li", "Nb", "Nb", "V", "V", "V", "Cr", "Cr", "Cr", "O", "O", "O", "O", "O", "O", "O", "O", "O", "O", "O", "O", "O", "O", "O", "O"], "frac_coords": [[0.000, 0.000, 0.000], [0.003, 0.003, 0.500], [0.338, 0.338, 0.590], [0.671, 0.671, 0.093], [0.335, 0.335, 0.001], [0.674, 0.674, 0.499], [0.174, 0.174, 0.278], [0.344, 0.829, 0.776], [0.829, 0.344, 0.776], [0.174, 0.664, 0.277], [0.664, 0.174, 0.277], [0.832, 0.832, 0.778], [0.001, 0.001, 0.688], [0.004, 0.004, 0.185], [0.042, 0.488, 0.151], [0.167, 0.665, 0.900], [0.169, 0.169, 0.903], [0.337, 0.337, 0.384], [0.338, 0.834, 0.400], [0.484, 0.484, 0.152], [0.488, 0.042, 0.151], [0.523, 0.523, 0.647], [0.525, 0.963, 0.649], [0.665, 0.167, 0.900], [0.670, 0.670, 0.884], [0.834, 0.338, 0.400], [0.838, 0.838, 0.397], [0.963, 0.525, 0.649]], "e_tot_ev_per_atom": -7.6336}